# TbZrU PBE relaxed
data_TbZrU
_chemical_formula_sum 'Tb1 Zr1 U1'
_cell_length_a 5.0186
_cell_length_b 5.0186
_cell_length_c 5.0186
_cell_angle_alpha 60.00
_cell_angle_beta 60.00
_cell_angle_gamma 60.00
_space_group_name_H-M_alt 'P 1'
_space_group_IT_number 1
_space_group_name_Hall 'P 1'
loop_
_atom_site_label
_atom_site_type_symbol
_atom_site_fract_x
_atom_site_fract_y
_atom_site_fract_z
Tb1 Tb 0.0000 0.0000 0.0000
Zr1 Zr 0.5000 0.5000 0.5000
U1 U 0.2500 0.2500 0.2500
# VASP energy: -20.7 eV for the cell shown
# Density: 9.1 g cm⁻³
# Space group: F-43m (216)